# LaSm6Y2Er

A geometry-optimized LaSm6Y2Er structure (PBE, Alexandria).

Unit cell a=8.934 b=8.934 c=9.647 alpha=93.74 beta=93.74 gamma=117.21
Positions (direct):
La (0.094, 0.906, 0.750)
La (0.906, 0.094, 0.250)
Sm (0.014, 0.794, 0.381)
Sm (0.067, 0.520, 0.183)
Sm (0.206, 0.986, 0.119)
Sm (0.261, 0.612, 0.557)
Sm (0.388, 0.739, 0.943)
Sm (0.480, 0.933, 0.317)
Sm (0.520, 0.067, 0.683)
Sm (0.612, 0.261, 0.057)
Sm (0.739, 0.388, 0.443)
Sm (0.794, 0.014, 0.881)
Sm (0.933, 0.480, 0.817)
Sm (0.986, 0.206, 0.619)
Y (0.208, 0.305, 0.953)
Y (0.305, 0.208, 0.453)
Y (0.695, 0.792, 0.547)
Y (0.792, 0.695, 0.047)
Er (0.468, 0.532, 0.250)
Er (0.532, 0.468, 0.750)

Summary:
**Symmetry**: No. 15
**Energy**: -4.95 eV per atom
**Magnetic moment**: 0.0000 μB/atom
**ΔH_f (0 K)**: 0.123 eV per atom
**ρ**: 6.8 Mg/m³
**Fermi-level density of states**: 30.36 states/eV/cell


# Cr2SiOs

A geometry-optimized Cr2SiOs structure (PBE, Alexandria).

Unit cell a=4.874 b=4.874 c=4.874 alpha=144.98 beta=131.77 gamma=60.98
Positions (direct):
Cr (0.244, 0.244, 0.000)
Cr (0.756, 0.756, 0.000)
Si (0.000, 0.500, 0.500)
Os (0.500, 0.000, 0.500)

Summary:
**Symmetry**: No. 71
**Energy relative to the elements, uncorrected**: -0.23 eV/atom
**Energy**: -9.20 eV per atom
**Magnetic moment**: 0.0000 μB/atom
**ρ**: 10.9 Mg/m³
**Fermi-level density of states**: 2.85 states/eV/cell


# TaNb3Cl

A geometry-optimized TaNb3Cl structure (PBE, Alexandria).

Unit cell a=4.557 b=4.557 c=4.557 alpha=90.00 beta=90.00 gamma=90.00
Positions (direct):
Ta (0.000, 0.000, 0.000)
Nb (0.000, 0.500, 0.500)
Nb (0.500, 0.000, 0.500)
Nb (0.500, 0.500, 0.000)
Cl (0.500, 0.500, 0.500)

Summary:
**Symmetry**: No. 221
**Energy relative to the elements, uncorrected**: 0.66 eV/atom
**Energy**: -8.12 eV per atom
**Magnetic moment**: 0.0000 μB/atom
**ρ**: 8.7 Mg/m³
**E above lowest polymorph**: 0 meV/atom
**Fermi-level density of states**: 8.06 states/eV/cell


# MnBeAl4

A geometry-optimized MnBeAl4 structure (PBE, Alexandria).

Unit cell a=4.989 b=4.989 c=4.989 alpha=60.00 beta=60.00 gamma=60.00
Positions (direct):
Mn (0.000, 0.000, 0.000)
Be (0.750, 0.750, 0.750)
Al (0.375, 0.375, 0.375)
Al (0.375, 0.375, 0.876)
Al (0.375, 0.876, 0.375)
Al (0.876, 0.375, 0.375)

Summary:
**Symmetry**: No. 216
**Energy**: -4.25 eV per atom
**Magnetic moment**: 0.1597 μB/atom
**ΔH_f (0 K)**: 0.394 eV per atom
**ρ**: 3.2 Mg/m³
**Fermi-level density of states**: 2.83 states/eV/cell


# ZnCu

A geometry-optimized ZnCu structure (PBE, Alexandria).

Unit cell a=4.806 b=4.806 c=4.831 alpha=90.00 beta=90.00 gamma=90.00
Positions (direct):
Zn (0.000, 0.000, 0.000)
Zn (0.000, 0.500, 0.500)
Zn (0.500, 0.000, 0.500)
Cu (0.000, 0.000, 0.500)
Cu (0.000, 0.500, 0.000)
Cu (0.500, 0.000, 0.000)

Summary:
**Symmetry**: No. 123
**Energy**: -2.27 eV per atom
**Magnetic moment**: 0.0000 μB/atom
**ΔH_f (0 K)**: 0.414 eV per atom
**ρ**: 5.8 Mg/m³
**Fermi-level density of states**: 1.65 states/eV/cell


# Ba2Re

A geometry-optimized Ba2Re structure (PBE, Alexandria).

Unit cell a=15.293 b=15.293 c=4.073 alpha=90.00 beta=90.00 gamma=162.10
Positions (direct):
Ba (0.061, 0.939, 0.750)
Ba (0.196, 0.804, 0.250)
Ba (0.804, 0.196, 0.750)
Ba (0.939, 0.061, 0.250)
Re (0.479, 0.521, 0.750)
Re (0.521, 0.479, 0.250)

Summary:
**Symmetry**: No. 63
**Energy**: -4.77 eV per atom
**Magnetic moment**: 0.0000 μB/atom
**ΔH_f (0 K)**: 0.665 eV per atom
**ρ**: 5.2 Mg/m³
**E above lowest polymorph**: 223 meV/atom
**Fermi-level density of states**: 8.90 states/eV/cell


> The highest ρ belongs to which entry?

Cr2SiOs


> What is the formula in the first record?

LaSm6Y2Er